The following is a PBE calculation of SrCd2Hg after structural relaxation, from the Alexandria database.

Lattice parameters (Å, degrees): 4.6753 4.6753 11.8045 78.58 78.58 90.00
With the nearest neighbours (Å) after each atom.
Fractional coordinates of all 8 atoms:
Cd1 0.0801 0.6250 0.2500  2 Cd 3.02, 2 Hg 3.21, 2 Sr 3.36
Cd2 0.8750 0.9199 0.7500  2 Cd 3.02, 2 Hg 3.21, 2 Sr 3.36
Cd3 0.3750 0.3301 0.7500  2 Cd 3.02, 2 Hg 3.21, 2 Sr 3.36
Cd4 0.6699 0.1250 0.2500  2 Cd 3.02, 2 Hg 3.21, 2 Sr 3.36
Hg1 0.7500 0.2500 0.5000  4 Cd 3.21, 4 Sr 3.31
Hg2 0.0000 0.0000 0.0000  4 Cd 3.21, 4 Sr 3.31
Sr1 0.5000 0.5000 0.0000  4 Hg 3.31, 4 Cd 3.36
Sr2 0.2500 0.7500 0.5000  4 Hg 3.31, 4 Cd 3.36

Computed properties:
Its crystal system is tetragonal. As for the space group: I-42d, No. 122.

---

The following is a PBE calculation of SrCd4Hg7 after structural relaxation, from the Alexandria database.

Lattice parameters (Å, degrees): 6.6281 5.9231 9.3805 98.93 59.43 97.63
With the nearest neighbours (Å) after each atom.
Fractional coordinates of all 12 atoms:
Cd1 0.4321 0.7743 0.3253  7 Hg 3.08-3.41, 2 Cd 3.26-3.33
Cd2 0.5679 0.2257 0.6747  7 Hg 3.08-3.41, 2 Cd 3.26-3.33
Cd3 0.9201 0.6712 0.6655  6 Hg 3.05-3.38, 3 Cd 3.18-3.33
Cd4 0.0799 0.3288 0.3345  6 Hg 3.05-3.38, 3 Cd 3.18-3.33
Hg1 0.5000 0.0000 0.0000  2 Hg 3.09, 2 Sr 3.31, 2 Cd 3.32
Hg2 0.2542 0.5187 0.0001  2 Cd 3.08, 5 Hg 3.09-3.35, 1 Sr 3.30
Hg3 0.7458 0.4813 0.9999  2 Cd 3.08, 5 Hg 3.09-3.35, 1 Sr 3.30
Hg4 0.9326 0.8187 0.3498  5 Cd 3.05-3.41, 2 Hg 3.18-3.25, 1 Sr 3.40
Hg5 0.4246 0.7087 0.6536  5 Cd 3.09-3.38, 3 Hg 3.18-3.31, 1 Sr 3.42
Hg6 0.5754 0.2913 0.3464  5 Cd 3.09-3.38, 3 Hg 3.18-3.31, 1 Sr 3.42
Hg7 0.0674 0.1813 0.6502  5 Cd 3.05-3.41, 2 Hg 3.18-3.25, 1 Sr 3.40
Sr1 0.0000 0.0000 0.0000  10 Hg 3.30-3.50, 4 Cd 3.67-3.68

Computed properties:
Its crystal system is triclinic. As for the space group: P-1, No. 2.

---

The following is a PBE calculation of SrCd2Hg after structural relaxation, from the Alexandria database.

Lattice parameters (Å, degrees): 5.2488 5.2488 5.4514 61.14 61.14 60.06
With the nearest neighbours (Å) after each atom.
Fractional coordinates of all 4 atoms:
Sr1 0.2501 0.2501 0.2498  4 Cd 3.27-3.28, 4 Hg 3.28
Hg1 0.4917 0.4917 0.5245  4 Cd 3.20-3.49, 4 Sr 3.28
Cd1 0.0093 0.0093 0.9722  4 Cd 3.19-3.54, 4 Sr 3.27-3.28
Cd2 0.7488 0.7488 0.7535  4 Cd 3.19-3.54, 4 Hg 3.20-3.49

Computed properties:
Its crystal system is monoclinic. As for the space group: Cm, No. 8.

---

The following is a PBE calculation of SrCd4Hg4 after structural relaxation, from the Alexandria database.

Lattice parameters (Å, degrees): 6.8431 6.8431 10.1870 90.00 90.00 90.00
With the nearest neighbours (Å) after each atom.
Fractional coordinates of all 18 atoms:
Cd1 0.5000 0.2156 0.0730  3 Cd 2.95-3.13, 5 Hg 2.97-3.06
Cd2 0.5000 0.7844 0.0730  3 Cd 2.95-3.13, 5 Hg 2.97-3.06
Cd3 0.2156 0.5000 0.9270  3 Cd 2.95-3.13, 5 Hg 2.97-3.06
Cd4 0.0000 0.7156 0.4270  3 Cd 2.95-3.13, 5 Hg 2.97-3.06
Cd5 0.7156 0.0000 0.5730  3 Cd 2.95-3.13, 5 Hg 2.97-3.06
Cd6 0.2844 0.0000 0.5730  3 Cd 2.95-3.13, 5 Hg 2.97-3.06
Cd7 0.0000 0.2844 0.4270  3 Cd 2.95-3.13, 5 Hg 2.97-3.06
Cd8 0.7844 0.5000 0.9270  3 Cd 2.95-3.13, 5 Hg 2.97-3.06
Hg1 0.0000 0.7377 0.7181  5 Cd 2.97-3.06, 1 Hg 3.25
Hg2 0.7377 0.0000 0.2819  5 Cd 2.97-3.06, 1 Hg 3.25
Hg3 0.2623 0.0000 0.2819  5 Cd 2.97-3.06, 1 Hg 3.25
Hg4 0.0000 0.2623 0.7181  5 Cd 2.97-3.06, 1 Hg 3.25
Hg5 0.5000 0.2377 0.7819  5 Cd 2.97-3.06, 1 Hg 3.25
Hg6 0.5000 0.7623 0.7819  5 Cd 2.97-3.06, 1 Hg 3.25
Hg7 0.2377 0.5000 0.2181  5 Cd 2.97-3.06, 1 Hg 3.25
Hg8 0.7623 0.5000 0.2181  5 Cd 2.97-3.06, 1 Hg 3.25
Sr1 0.5000 0.5000 0.5000  4 Hg 3.39
Sr2 0.0000 0.0000 0.0000  4 Hg 3.39

Computed properties:
Its crystal system is tetragonal. As for the energy above the most stable polymorph in this dataset: 0.008 eV per atom. As for the space group: P4_2/nmc, No. 137.

---

The following is a PBE calculation of SrCd5Hg6 after structural relaxation, from the Alexandria database.

Lattice parameters (Å, degrees): 5.1962 9.0049 9.0049 119.35 106.14 106.14
With the nearest neighbours (Å) after each atom.
Fractional coordinates of all 12 atoms:
Hg1 0.7739 0.2772 0.2772  6 Cd 3.05-3.26, 2 Sr 3.32-3.37, 1 Hg 3.38
Hg2 0.7312 0.5622 0.9047  7 Cd 3.11-3.35, 1 Sr 3.34
Hg3 0.2688 0.4378 0.0953  7 Cd 3.11-3.35, 1 Sr 3.34
Hg4 0.7312 0.9047 0.5622  7 Cd 3.11-3.35, 1 Sr 3.34
Hg5 0.2688 0.0953 0.4378  7 Cd 3.11-3.35, 1 Sr 3.34
Hg6 0.2261 0.7228 0.7228  6 Cd 3.05-3.26, 2 Sr 3.32-3.37, 1 Hg 3.38
Cd1 0.5000 0.5000 0.5000  8 Hg 3.05-3.20
Cd2 0.5000 0.1603 0.8397  8 Hg 3.16-3.35
Cd3 0.0000 0.3228 0.6772  8 Hg 3.11-3.23
Cd4 0.5000 0.8397 0.1603  8 Hg 3.16-3.35
Cd5 0.0000 0.6772 0.3228  8 Hg 3.11-3.23
Sr1 0.0000 0.0000 0.0000  8 Hg 3.32-3.37, 4 Cd 3.60

Computed properties:
Its crystal system is monoclinic. As for the energy above the most stable polymorph in this dataset: 0.000 eV per atom. As for the space group: C2/m, No. 12.

---

The following is a PBE calculation of SrCd2Hg after structural relaxation, from the Alexandria database.

Lattice parameters (Å, degrees): 5.5995 6.5671 3.6630 76.34 84.25 113.48
With the nearest neighbours (Å) after each atom.
Fractional coordinates of all 4 atoms:
Hg1 0.0000 0.5000 0.5000  4 Sr 3.19-3.50, 4 Cd 3.36
Sr1 0.5000 0.5000 0.0000  4 Hg 3.19-3.50, 4 Cd 3.36
Cd1 0.0000 0.0000 0.0000  4 Cd 3.19-3.50, 2 Sr 3.36, 2 Hg 3.36
Cd2 0.5000 0.0000 0.5000  4 Cd 3.19-3.50, 2 Hg 3.36, 2 Sr 3.36

Computed properties:
Its crystal system is monoclinic. As for the space group: C2/m, No. 12.

---

The following is a PBE calculation of Sr3Cd2Hg9 after structural relaxation, from the Alexandria database.

Lattice parameters (Å, degrees): 5.0375 10.2484 9.3914 123.07 105.56 90.00
With the nearest neighbours (Å) after each atom.
Fractional coordinates of all 14 atoms:
Hg1 0.3488 0.7076 0.6976  4 Hg 2.89-3.13, 1 Cd 2.97
Hg2 0.6512 0.2924 0.3024  4 Hg 2.89-3.13, 1 Cd 2.97
Hg3 0.1437 0.8518 0.2875  4 Hg 2.96-3.13
Hg4 0.3488 0.9899 0.6976  4 Hg 2.89-3.13, 1 Cd 2.97
Hg5 0.6512 0.0101 0.3024  4 Hg 2.89-3.13, 1 Cd 2.97
Hg6 0.8563 0.5643 0.7125  4 Hg 2.96-3.13
Hg7 0.8563 0.1482 0.7125  4 Hg 2.96-3.13
Hg8 0.1437 0.4357 0.2875  4 Hg 2.96-3.13
Hg9 0.0000 0.5000 0.0000  4 Hg 3.02, 4 Cd 3.06
Sr1 0.7124 0.7124 0.4248  12 Hg 3.46-3.79, 2 Cd 3.61
Sr2 0.0000 0.0000 0.0000  12 Hg 3.68
Sr3 0.2876 0.2876 0.5752  12 Hg 3.46-3.79, 2 Cd 3.61
Cd1 0.5000 0.3305 0.0000  8 Hg 2.97-3.33
Cd2 0.5000 0.6695 0.0000  8 Hg 2.97-3.33

Computed properties:
Its crystal system is orthorhombic. As for the space group: Immm, No. 71.

---

The following is a PBE calculation of Sr2CdHg12 after structural relaxation, from the Alexandria database.

Lattice parameters (Å, degrees): 7.0432 7.0432 17.4442 90.00 90.00 90.00
With the nearest neighbours (Å) after each atom.
Fractional coordinates of all 30 atoms:
Hg1 0.0000 0.0000 0.1885  5 Hg 2.86-3.00
Hg2 0.0000 0.0000 0.6478  5 Hg 2.86-2.99
Hg3 0.5000 0.5000 0.8115  5 Hg 2.86-3.00
Hg4 0.2513 0.2487 0.9079  2 Cd 2.95-2.97, 3 Hg 3.00-3.21
Hg5 0.5000 0.5000 0.3522  5 Hg 2.86-2.99
Hg6 0.7487 0.2487 0.0921  2 Cd 2.95-2.97, 3 Hg 3.00-3.21
Hg7 0.1556 0.6556 0.5701  6 Hg 2.99-3.28
Hg8 0.2487 0.7487 0.9079  2 Cd 2.95-2.97, 3 Hg 3.00-3.21
Hg9 0.7487 0.7513 0.9079  2 Cd 2.95-2.97, 3 Hg 3.00-3.21
Hg10 0.7513 0.2513 0.9079  2 Cd 2.95-2.97, 3 Hg 3.00-3.21
Hg11 0.2513 0.7513 0.0921  2 Cd 2.95-2.97, 3 Hg 3.00-3.21
Hg12 0.6556 0.1556 0.4299  6 Hg 2.99-3.28
Hg13 0.5000 0.5000 0.6478  5 Hg 2.86-2.99
Hg14 0.3444 0.1556 0.5701  6 Hg 2.99-3.28
Hg15 0.5000 0.5000 0.1885  5 Hg 2.86-3.00
Hg16 0.3444 0.8444 0.4299  6 Hg 2.99-3.28
Hg17 0.1556 0.3444 0.4299  6 Hg 2.99-3.28
Hg18 0.0000 0.0000 0.3522  5 Hg 2.86-2.99
Hg19 0.2487 0.2513 0.0921  2 Cd 2.95-2.97, 3 Hg 3.00-3.21
Hg20 0.8444 0.6556 0.4299  6 Hg 2.99-3.28
Hg21 0.8444 0.3444 0.5701  6 Hg 2.99-3.28
Hg22 0.6556 0.8444 0.5701  6 Hg 2.99-3.28
Hg23 0.7513 0.7487 0.0921  2 Cd 2.95-2.97, 3 Hg 3.00-3.21
Hg24 0.0000 0.0000 0.8115  5 Hg 2.86-3.00
Sr1 0.0000 0.5000 0.7612  10 Hg 3.56-3.68
Sr2 0.5000 0.0000 0.7612  10 Hg 3.56-3.68
Sr3 0.0000 0.5000 0.2388  10 Hg 3.56-3.68
Sr4 0.5000 0.0000 0.2388  10 Hg 3.56-3.68
Cd1 0.0000 0.5000 0.0000  8 Hg 2.95-2.97
Cd2 0.5000 0.0000 0.0000  8 Hg 2.95-2.97

Computed properties:
Its crystal system is tetragonal. As for the space group: P4/nbm, No. 125.

---

Number 1: E_form -0.15 eV per atom, raw total energy -8.8 eV for the cell shown. Number 2: E_form -0.12 eV per atom, raw total energy -8.9 eV for the cell shown. Number 3: E_form -0.30 eV per atom, raw total energy -5.0 eV for the cell shown. Number 4: E_form -0.15 eV per atom, raw total energy -15.7 eV for the cell shown. Number 5: E_form -0.12 eV per atom, raw total energy -9.5 eV for the cell shown. Number 6: E_form -0.13 eV per atom, raw total energy -4.3 eV for the cell shown. Number 7: E_form -0.33 eV per atom, raw total energy -14.3 eV for the cell shown. Number 8: E_form -0.17 eV per atom, raw total energy -21.0 eV for the cell shown.